Record 1
The following is a DFT calculation (PBE) of a geometry-optimized Ca2FeRe structure.

Results
N(E_F) = 2.83 states/eV/f.u.
Total DFT energy (no corrections) = -42.64 eV/cell
Theoretical density = 6.71 g/cm³
ΔH_f (0 K) = 0.899 eV per atom

Cell and atoms, written as CIF:
```
data_Ca2FeRe
_chemical_formula_sum 'Ca4 Fe2 Re2'
_cell_length_a 4.1335
_cell_length_b 4.1335
_cell_length_c 9.3380
_cell_angle_alpha 90.00
_cell_angle_beta 90.00
_cell_angle_gamma 90.00
_space_group_name_H-M_alt 'I 4/m m m'
_space_group_IT_number 139
_space_group_name_Hall '-I 4 2'
loop_
_atom_site_label
_atom_site_type_symbol
_atom_site_fract_x
_atom_site_fract_y
_atom_site_fract_z
_atom_site_occupancy
Ca1 Ca 0.0000 0.5000 0.2500 1
Fe1 Fe 0.0000 0.0000 0.0000 1
Re1 Re 0.0000 0.0000 0.5000 1
```

---

Record 2
The following is a DFT calculation (PBE) of a geometry-optimized Dy4AlPd2 structure.

Results
N(E_F) = 4.45 states/eV/f.u.
Total DFT energy (no corrections) = -108.39 eV/cell
Theoretical density = 8.14 g/cm³
ΔH_f (0 K) = -0.513 eV per atom

Cell and atoms, written as CIF:
```
data_Dy4AlPd2
_chemical_formula_sum 'Dy12 Al3 Pd6'
_cell_length_a 4.8762
_cell_length_b 4.8762
_cell_length_c 26.4550
_cell_angle_alpha 90.00
_cell_angle_beta 90.00
_cell_angle_gamma 120.00
_space_group_name_H-M_alt 'R -3 m'
_space_group_IT_number 166
_space_group_name_Hall '-R 3 2"'
loop_
_atom_site_label
_atom_site_type_symbol
_atom_site_fract_x
_atom_site_fract_y
_atom_site_fract_z
_atom_site_occupancy
Dy1 Dy 0.0000 0.0000 0.1202 1
Dy2 Dy 0.0000 0.0000 0.2933 1
Al1 Al 0.0000 0.0000 0.5000 1
Pd1 Pd 0.0000 0.0000 0.4038 1
```

---

Record 3
The following is a DFT calculation (PBE) of a geometry-optimized CoAg2Br structure.

Results
N(E_F) = 1.41 states/eV/f.u.
Total DFT energy (no corrections) = -47.17 eV/cell
Theoretical density = 7.72 g/cm³

Cell and atoms, written as CIF:
```
data_CoAg2Br
_chemical_formula_sum 'Co4 Ag8 Br4'
_cell_length_a 6.7325
_cell_length_b 6.7325
_cell_length_c 6.7325
_cell_angle_alpha 90.00
_cell_angle_beta 90.00
_cell_angle_gamma 90.00
_space_group_name_H-M_alt 'F m -3 m'
_space_group_IT_number 225
_space_group_name_Hall '-F 4 2 3'
loop_
_atom_site_label
_atom_site_type_symbol
_atom_site_fract_x
_atom_site_fract_y
_atom_site_fract_z
_atom_site_occupancy
Co1 Co 0.0000 0.0000 0.0000 1
Ag1 Ag 0.2500 0.2500 0.2500 1
Br1 Br 0.0000 0.0000 0.5000 1
```

---

Record 4
The following is a DFT calculation (PBE) of a geometry-optimized TlSi2Se2 structure.

Results
N(E_F) = 1.89 states/eV/f.u.
Total DFT energy (no corrections) = -39.29 eV/cell
Theoretical density = 5.97 g/cm³

Cell and atoms, written as CIF:
```
data_TlSi2Se2
_chemical_formula_sum 'Tl2 Si4 Se4'
_cell_length_a 5.1095
_cell_length_b 5.1095
_cell_length_c 8.9204
_cell_angle_alpha 90.00
_cell_angle_beta 90.00
_cell_angle_gamma 90.00
_space_group_name_H-M_alt 'I 4/m m m'
_space_group_IT_number 139
_space_group_name_Hall '-I 4 2'
loop_
_atom_site_label
_atom_site_type_symbol
_atom_site_fract_x
_atom_site_fract_y
_atom_site_fract_z
_atom_site_occupancy
Tl1 Tl 0.0000 0.0000 0.0000 1
Si1 Si 0.0000 0.0000 0.3491 1
Se1 Se 0.0000 0.5000 0.2500 1
```

---

Record 5
The following is a DFT calculation (PBE) of a geometry-optimized SnPb2Au structure.

Results
N(E_F) = 1.91 states/eV/f.u.
Total DFT energy (no corrections) = -29.74 eV/cell
Theoretical density = 10.68 g/cm³
ΔH_f (0 K) = -0.043 eV per atom

Cell and atoms, written as CIF:
```
data_SnPb2Au
_chemical_formula_sum 'Sn2 Pb4 Au2'
_cell_length_a 4.1500
_cell_length_b 8.9511
_cell_length_c 6.1110
_cell_angle_alpha 90.00
_cell_angle_beta 90.00
_cell_angle_gamma 90.00
_space_group_name_H-M_alt 'P m m n'
_space_group_IT_number 59
loop_
_space_group_symop_operation_xyz
'x,y,z'
'-x,-y,-z'
'-x+1/2,-y+1/2,z'
'x+1/2,y+1/2,-z'
'x+1/2,-y,-z'
'-x+1/2,y,z'
'-x,y+1/2,-z'
'x,-y+1/2,z'
loop_
_atom_site_label
_atom_site_type_symbol
_atom_site_fract_x
_atom_site_fract_y
_atom_site_fract_z
_atom_site_occupancy
Sn1 Sn 0.2500 0.2500 0.2170 1
Pb1 Pb 0.2500 0.0532 0.7559 1
Au1 Au 0.2500 0.7500 0.4701 1
```

---

Record 6
The following is a DFT calculation (PBE) of a geometry-optimized Tc2Sn2Ge structure.

Results
N(E_F) = 4.34 states/eV/f.u.
Total DFT energy (no corrections) = -65.41 eV/cell
Theoretical density = 9.14 g/cm³
ΔH_f (0 K) = 0.130 eV per atom

Cell and atoms, written as CIF:
```
data_Tc2Sn2Ge
_chemical_formula_sum 'Tc4 Sn4 Ge2'
_cell_length_a 6.6849
_cell_length_b 6.6849
_cell_length_c 4.1158
_cell_angle_alpha 90.00
_cell_angle_beta 90.00
_cell_angle_gamma 90.00
_space_group_name_H-M_alt 'P 4/m b m'
_space_group_IT_number 127
_space_group_name_Hall '-P 4 2ab'
loop_
_atom_site_label
_atom_site_type_symbol
_atom_site_fract_x
_atom_site_fract_y
_atom_site_fract_z
_atom_site_occupancy
Tc1 Tc 0.1508 0.3492 0.0000 1
Sn1 Sn 0.1570 0.6570 0.5000 1
Ge1 Ge 0.0000 0.0000 0.0000 1
```

---

Record 7
The following is a DFT calculation (PBE) of a geometry-optimized DyHo2TmBi5 structure.

Results
N(E_F) = 5.93 states/eV/f.u.
Total DFT energy (no corrections) = -37.36 eV/cell
Theoretical density = 8.33 g/cm³
ΔH_f (0 K) = 0.031 eV per atom

Cell and atoms, written as CIF:
```
data_DyHo2TmBi5
_chemical_formula_sum 'Dy1 Ho2 Tm1 Bi5'
_cell_length_a 5.3553
_cell_length_b 5.3553
_cell_length_c 11.8580
_cell_angle_alpha 90.00
_cell_angle_beta 90.00
_cell_angle_gamma 90.00
_space_group_name_H-M_alt 'P 4/m m m'
_space_group_IT_number 123
_space_group_name_Hall '-P 4 2'
loop_
_atom_site_label
_atom_site_type_symbol
_atom_site_fract_x
_atom_site_fract_y
_atom_site_fract_z
_atom_site_occupancy
Dy1 Dy 0.0000 0.0000 0.0000 1
Ho1 Ho 0.5000 0.5000 0.2662 1
Tm1 Tm 0.0000 0.0000 0.5000 1
Bi1 Bi 0.0000 0.0000 0.2467 1
Bi2 Bi 0.0000 0.5000 0.5000 1
Bi3 Bi 0.5000 0.5000 0.0000 1
```

---

Record 8
The following is a DFT calculation (PBE) of a geometry-optimized Ho3Zn2Ge3 structure.

Results
N(E_F) = 5.06 states/eV/f.u.
Total DFT energy (no corrections) = -141.11 eV/cell
Theoretical density = 8.54 g/cm³
ΔH_f (0 K) = -0.643 eV per atom

Cell and atoms, written as CIF:
```
data_Ho3Zn2Ge3
_chemical_formula_sum 'Ho12 Zn8 Ge12'
_cell_length_a 4.1992
_cell_length_b 10.9506
_cell_length_c 14.2654
_cell_angle_alpha 90.00
_cell_angle_beta 90.00
_cell_angle_gamma 90.00
_space_group_name_H-M_alt 'C m c m'
_space_group_IT_number 63
_space_group_name_Hall '-C 2c 2'
loop_
_atom_site_label
_atom_site_type_symbol
_atom_site_fract_x
_atom_site_fract_y
_atom_site_fract_z
_atom_site_occupancy
Ho1 Ho 0.0000 0.0687 0.1145 1
Ho2 Ho 0.0000 0.3545 0.2500 1
Zn1 Zn 0.0000 0.2263 0.5989 1
Ge1 Ge 0.0000 0.3619 0.7500 1
Ge2 Ge 0.0000 0.3837 0.0432 1
```

---

The lowest total DFT energy (no corrections) belongs to which entry? Ho3Zn2Ge3